Density functional theory data (GGA-PBE) for HfBe10Cu after structural relaxation.

Output
As for the volume: 9.7 Å³/atom. As for the energy of formation: -0.10 eV per atom.

Unit cell a=3.5321 b=4.2903 c=7.6448 alpha=90.00 beta=90.00 gamma=90.00
Last column: nearest neighbours and their distance in Å.
Fractional positions:
Hf 0.0000 0.0000 0.0000  18 Be 2.61-2.79
Be 0.0000 0.0000 0.3445  7 Be 2.13-2.38
Be 0.0000 0.0000 0.6555  7 Be 2.13-2.38
Be 0.0000 0.5000 0.1954  6 Be 2.12-2.31, 1 Cu 2.33
Be 0.0000 0.5000 0.8046  6 Be 2.12-2.31, 1 Cu 2.33
Be 0.5000 0.0000 0.5000  8 Be 2.13-2.19
Be 0.5000 0.2417 0.2480  8 Be 2.07-2.22
Be 0.5000 0.2417 0.7520  8 Be 2.07-2.22
Be 0.5000 0.5000 0.0000  8 Be 2.20-2.31
Be 0.5000 0.7583 0.2480  8 Be 2.07-2.22
Be 0.5000 0.7583 0.7520  8 Be 2.07-2.22
Cu 0.0000 0.5000 0.5000  6 Be 2.33-2.45



Density functional theory data (GGA-PBE) for HfBe2Cu4 after structural relaxation.

Output
As for the volume: 12.3 Å³/atom. As for the energy of formation: -0.11 eV per atom.

Unit cell a=6.7381 b=6.7381 c=3.6403 alpha=90.00 beta=90.00 gamma=148.65
Last column: nearest neighbours and their distance in Å.
Fractional positions:
Hf 0.0000 0.0000 0.0000  8 Be 2.77, 8 Cu 2.95-2.96
Be 0.4204 0.5796 0.5000  1 Be 2.07, 4 Cu 2.23-2.24
Be 0.5796 0.4204 0.5000  1 Be 2.07, 4 Cu 2.23-2.24
Cu 0.1801 0.8199 0.5000  2 Be 2.24
Cu 0.3214 0.6786 0.0000  2 Be 2.23
Cu 0.6786 0.3214 0.0000  2 Be 2.23
Cu 0.8199 0.1801 0.5000  2 Be 2.24



Density functional theory data (GGA-PBE) for HfBe4Cu2 after structural relaxation.

Output
As for the volume: 11.0 Å³/atom. As for the energy of formation: -0.09 eV per atom.

Unit cell a=4.6537 b=4.6537 c=4.6911 alpha=119.38 beta=119.38 gamma=76.10
Last column: nearest neighbours and their distance in Å.
Fractional positions:
Hf 0.0000 0.0000 0.0000  12 Be 2.54-2.81
Be 0.9998 0.3733 0.6775  2 Be 2.14, 2 Cu 2.38-2.39
Be 0.0002 0.6267 0.3225  2 Be 2.14, 2 Cu 2.38-2.39
Be 0.3733 0.9998 0.6775  2 Be 2.14, 2 Cu 2.38-2.39
Be 0.6267 0.0002 0.3225  2 Be 2.14, 2 Cu 2.38-2.39
Cu 0.4945 0.4945 0.2446  2 Cu 2.35, 8 Be 2.38-2.42
Cu 0.5055 0.5055 0.7554  2 Cu 2.35, 8 Be 2.38-2.42



no.,theoretical density (g cm⁻³),E_tot (eV/cell)
1,4.8,-52.5
2,8.7,-34.5
3,7.4,-33.7